Record 1
The following is a PBE-GGA calculation of an optimized crystal structure of KSbRuO6, from Alexandria via LeMat-Bulk.

Output
Density of states at the Fermi level: 0.50 states/eV per atom

Lattice parameters (Å, degrees): 5.363 5.363 5.967 90.00 90.00 60.00
Positions (direct):
Sb1 0.667 0.667 0.500
O1 0.404 0.013 0.691
O2 0.013 0.404 0.309
O3 0.404 0.583 0.309
O4 0.583 0.013 0.309
O5 0.013 0.583 0.691
O6 0.583 0.404 0.691
Ru1 0.333 0.333 0.500
K1 0.000 0.000 0.000

=====

Record 2
The following is a PBE-GGA calculation of an optimized crystal structure of K4Sc3RuO8, from Alexandria via LeMat-Bulk.

Output
Density of states at the Fermi level: 0.50 states/eV per atom

Lattice parameters (Å, degrees): 6.438 7.167 6.438 116.69 120.00 90.00
Last column: magnetic moment on the atom in μB.
Positions (direct):
K1 0.500 0.000 0.000  0.00
K2 0.000 0.000 0.000  0.00
K3 0.000 0.000 0.500  0.00
K4 0.500 0.000 0.500  0.00
O1 0.773 0.320 0.047  0.03
O2 0.273 0.320 0.047  0.03
O3 0.773 0.320 0.547  0.03
O4 0.227 0.680 0.453  0.03
O5 0.726 0.678 0.452  0.00
O6 0.274 0.322 0.548  0.00
O7 0.727 0.680 0.953  0.03
O8 0.227 0.680 0.953  0.03
Sc1 0.500 0.500 0.500  0.00
Sc2 0.500 0.500 0.000  0.00
Sc3 0.000 0.500 0.500  0.00
Ru1 0.000 0.500 0.000  0.79

=====

Record 3
The following is a PBE-GGA calculation of an optimized crystal structure of K3Sc2RuO6, from Alexandria via LeMat-Bulk.

Output
Density of states at the Fermi level: 0.78 states/eV per atom

Lattice parameters (Å, degrees): 5.564 5.564 6.387 98.32 98.32 119.97
Last column: magnetic moment on the atom in μB.
Positions (direct):
O1 0.607 0.940 0.820  0.03
O2 0.940 0.607 0.820  0.03
O3 0.273 0.273 0.821  0.03
O4 0.060 0.393 0.180  0.03
O5 0.727 0.727 0.179  0.03
O6 0.393 0.060 0.180  0.03
Ru1 0.000 0.000 0.000  0.79
Sc1 0.667 0.333 0.000  0.00
Sc2 0.333 0.667 0.000  0.00
K1 0.500 0.500 0.500  0.00
K2 0.163 0.837 0.500  0.00
K3 0.837 0.163 0.500  0.00

=====

Record 4
The following is a PBE-GGA calculation of an optimized crystal structure of K2ScRuO6, from Alexandria via LeMat-Bulk.

Output
Density of states at the Fermi level: 0.35 states/eV per atom

Lattice parameters (Å, degrees): 5.698 5.698 5.698 60.00 60.00 60.00
Positions (direct):
O1 0.763 0.237 0.763
O2 0.763 0.763 0.237
O3 0.763 0.237 0.237
O4 0.237 0.763 0.763
O5 0.237 0.763 0.237
O6 0.237 0.237 0.763
Ru1 0.000 0.000 0.000
K1 0.250 0.250 0.250
K2 0.750 0.750 0.750
Sc1 0.500 0.500 0.500

=====

Record 5
The following is a PBE-GGA calculation of an optimized crystal structure of K2RuSeO6, from Alexandria via LeMat-Bulk.

Output
Density of states at the Fermi level: 0.41 states/eV per atom

Lattice parameters (Å, degrees): 5.650 5.650 5.636 59.99 59.99 90.10
Last column: magnetic moment on the atom in μB.
Positions (direct):
O1 0.755 0.244 0.000  0.10
O2 0.752 0.752 0.497  0.08
O3 0.248 0.248 0.503  0.08
O4 0.246 0.246 0.000  0.09
O5 0.754 0.754 0.000  0.09
O6 0.245 0.756 0.000  0.10
K1 0.750 0.250 0.500  0.00
K2 0.250 0.750 0.500  0.00
Se1 0.500 0.500 0.000  0.00
Ru1 0.000 0.000 0.000  1.24

=====

Record 6
The following is a PBE-GGA calculation of an optimized crystal structure of KRuSe2O8, from Alexandria via LeMat-Bulk.

Output
Density of states at the Fermi level: 0.14 states/eV per atom

Lattice parameters (Å, degrees): 5.053 5.053 8.536 90.00 90.00 120.00
Last column: magnetic moment on the atom in μB.
Positions (direct):
O1 0.672 0.690 0.643  0.02
O2 0.982 0.672 0.357  0.02
O3 0.328 0.310 0.357  0.02
O4 0.333 0.667 0.897  0.00
O5 0.690 0.018 0.357  0.02
O6 0.667 0.333 0.103  0.00
O7 0.018 0.328 0.643  0.02
O8 0.310 0.982 0.643  0.02
K1 0.000 0.000 0.000  0.00
Ru1 0.000 0.000 0.500  0.79
Se1 0.333 0.667 0.704  0.00
Se2 0.667 0.333 0.296  0.00

=====

Record 7
The following is a PBE-GGA calculation of an optimized crystal structure of K2SiRuO6, from Alexandria via LeMat-Bulk.

Output
Density of states at the Fermi level: 0.43 states/eV per atom

Lattice parameters (Å, degrees): 5.363 5.363 5.360 60.01 60.01 90.02
Positions (direct):
K1 0.250 0.750 0.500
K2 0.750 0.250 0.500
O1 0.740 0.740 0.520
O2 0.261 0.739 0.000
O3 0.739 0.261 0.000
O4 0.260 0.260 0.480
O5 0.740 0.740 0.000
O6 0.260 0.260 0.000
Ru1 0.000 0.000 0.000
Si1 0.500 0.500 0.000

=====

Record 8
The following is a PBE-GGA calculation of an optimized crystal structure of KSmRuO6, from Alexandria via LeMat-Bulk.

Lattice parameters (Å, degrees): 5.700 5.700 5.751 90.00 90.00 60.00
Positions (direct):
Sm1 0.667 0.667 0.500
K1 0.000 0.000 0.000
O1 0.352 0.594 0.311
O2 0.594 0.352 0.689
O3 0.054 0.594 0.689
O4 0.352 0.054 0.689
O5 0.594 0.054 0.311
O6 0.054 0.352 0.311
Ru1 0.333 0.333 0.500

=====

Record 9
The following is a PBE-GGA calculation of an optimized crystal structure of K4SmRu3O12, from Alexandria via LeMat-Bulk.

Output
Density of states at the Fermi level: 0.42 states/eV per atom

Lattice parameters (Å, degrees): 7.069 7.069 7.069 109.47 109.47 109.47
Last column: magnetic moment on the atom in μB.
Positions (direct):
K1 0.500 0.000 0.000  0.00
K2 0.000 0.500 0.000  0.00
K3 0.000 0.000 0.500  0.00
K4 0.500 0.500 0.500  0.00
O1 0.250 0.750 0.500  0.02
O2 0.727 0.000 0.727  -0.06
O3 0.000 0.273 0.273  -0.06
O4 0.000 0.727 0.727  -0.06
O5 0.750 0.250 0.500  0.02
O6 0.500 0.750 0.250  0.02
O7 0.273 0.000 0.273  -0.06
O8 0.273 0.273 0.000  -0.06
O9 0.727 0.727 0.000  -0.06
O10 0.750 0.500 0.250  0.02
O11 0.250 0.500 0.750  0.02
O12 0.500 0.250 0.750  0.02
Ru1 0.500 0.000 0.500  -0.20
Ru2 0.000 0.500 0.500  -0.20
Ru3 0.500 0.500 0.000  -0.20
Sm1 0.000 0.000 0.000  -0.01

=====

Record 10
The following is a PBE-GGA calculation of an optimized crystal structure of K3Sm2RuO6, from Alexandria via LeMat-Bulk.

Output
Density of states at the Fermi level: 0.74 states/eV per atom

Lattice parameters (Å, degrees): 5.932 5.932 6.542 98.56 98.56 119.75
Last column: magnetic moment on the atom in μB.
Positions (direct):
Sm1 0.669 0.331 0.000  0.00
Sm2 0.331 0.669 0.000  0.00
K1 0.160 0.840 0.500  0.00
K2 0.500 0.500 0.500  0.00
K3 0.840 0.160 0.500  0.00
O1 0.935 0.622 0.809  0.02
O2 0.065 0.378 0.191  0.02
O3 0.753 0.753 0.184  0.04
O4 0.247 0.247 0.816  0.04
O5 0.378 0.065 0.191  0.02
O6 0.622 0.935 0.809  0.02
Ru1 0.000 0.000 0.000  0.79

=====

Record 11
The following is a PBE-GGA calculation of an optimized crystal structure of K2SnRuO, from Alexandria via LeMat-Bulk.

Output
Density of states at the Fermi level: 1.49 states/eV per atom

Lattice parameters (Å, degrees): 6.777 4.172 6.777 90.00 90.00 90.00
Last column: magnetic moment on the atom in μB.
Positions (direct):
Sn1 0.000 0.000 0.000  -0.14
K1 0.500 0.000 0.000  -0.01
K2 0.000 0.000 0.500  -0.01
Ru1 0.500 0.500 0.500  2.36
O1 0.000 0.500 0.000  -0.09

=====

Record 12
The following is a PBE-GGA calculation of an optimized crystal structure of K4SrRu3O12, from Alexandria via LeMat-Bulk.

Output
Density of states at the Fermi level: 0.40 states/eV per atom

Lattice parameters (Å, degrees): 7.141 7.141 7.141 109.47 109.47 109.47
Positions (direct):
Sr1 0.000 0.000 0.000
O1 0.750 0.500 0.250
O2 0.280 0.000 0.280
O3 0.500 0.250 0.750
O4 0.250 0.750 0.500
O5 0.750 0.250 0.500
O6 0.720 0.000 0.720
O7 0.000 0.720 0.720
O8 0.720 0.720 0.000
O9 0.250 0.500 0.750
O10 0.280 0.280 0.000
O11 0.500 0.750 0.250
O12 0.000 0.280 0.280
K1 0.000 0.500 0.000
K2 0.000 0.000 0.500
K3 0.500 0.000 0.000
K4 0.500 0.500 0.500
Ru1 0.000 0.500 0.500
Ru2 0.500 0.000 0.500
Ru3 0.500 0.500 0.000

=====

For the records above, the corresponding energy relative to the elements, uncorrected values read -1.192 -2.291 -2.137 -1.736 -0.908 -0.846 -1.470 -1.478 -1.369 -2.032 0.767 -1.210 eV per atom.
For the records above, the corresponding energy values read -6.11 -6.81 -6.72 -6.49 -5.38 -5.60 -6.13 -6.46 -6.19 -6.34 -3.32 -5.88 eV/atom.